(1)
Below is a relaxed W2SI crystal, with properties calculated at the PBE level. Values from VASP.

Geometry as Quantum ESPRESSO input:
```
&SYSTEM
  ibrav = 0, nat = 8, ntyp = 3
/
ATOMIC_SPECIES
I 126.90 I.upf
S 32.06 S.upf
W 183.84 W.upf
ATOMIC_POSITIONS crystal
I 0.0000 0.0000 0.0000
I 0.7500 0.2500 0.5000
S 0.2500 0.7500 0.5000
S 0.5000 0.5000 0.0000
W 0.8750 0.7925 0.7500
W 0.3750 0.4575 0.7500
W 0.5425 0.1250 0.2500
W 0.2075 0.6250 0.2500
CELL_PARAMETERS angstrom
4.5234 0.0000 0.0000
0.0000 4.5234 0.0000
2.2617 2.2617 7.9763
```

As for the raw formation energy: 0.752 eV per atom.


(2)
Below is a relaxed W2SI crystal, with properties calculated at the PBE level. Values from VASP.

Geometry as Quantum ESPRESSO input:
```
&SYSTEM
  ibrav = 0, nat = 4, ntyp = 3
/
ATOMIC_SPECIES
I 126.90 I.upf
S 32.06 S.upf
W 183.84 W.upf
ATOMIC_POSITIONS crystal
I 0.5000 0.5000 0.5000
S 0.0000 0.0000 0.0000
W 0.7500 0.7500 0.7500
W 0.2500 0.2500 0.2500
CELL_PARAMETERS angstrom
-0.3192 2.3655 3.8596
-4.0734 1.2314 1.5763
-1.6770 -1.9627 3.7322
```

As for the raw formation energy: 1.103 eV per atom.


(3)
Below is a relaxed WSI2 crystal, with properties calculated at the PBE level. Values from VASP.

Geometry as Quantum ESPRESSO input:
```
&SYSTEM
  ibrav = 0, nat = 8, ntyp = 3
/
ATOMIC_SPECIES
I 126.90 I.upf
W 183.84 W.upf
S 32.06 S.upf
ATOMIC_POSITIONS crystal
I 0.8750 0.9209 0.7500
I 0.0791 0.6250 0.2500
I 0.3750 0.3291 0.7500
I 0.6709 0.1250 0.2500
W 0.7500 0.2500 0.5000
W 0.0000 0.0000 0.0000
S 0.5000 0.5000 0.0000
S 0.2500 0.7500 0.5000
CELL_PARAMETERS angstrom
-4.5146 -3.3457 4.5183
5.5126 -1.4960 4.4004
-0.2273 1.6630 6.7577
```

As for the raw formation energy: 1.168 eV per atom.


(4)
Below is a relaxed WS2I crystal, with properties calculated at the PBE level. Values from VASP.

Geometry as Quantum ESPRESSO input:
```
&SYSTEM
  ibrav = 0, nat = 4, ntyp = 3
/
ATOMIC_SPECIES
S 32.06 S.upf
W 183.84 W.upf
I 126.90 I.upf
ATOMIC_POSITIONS crystal
S 0.8771 0.8771 0.8771
S 0.1229 0.1229 0.1229
W 0.5000 0.5000 0.5000
I 0.0000 0.0000 0.0000
CELL_PARAMETERS angstrom
1.8905 0.0000 11.7640
-0.9452 1.6372 11.7640
-0.9452 -1.6372 11.7640
```

As for the raw formation energy: -0.310 eV per atom.


(5)
Below is a relaxed WS2I crystal, with properties calculated at the PBE level. Values from VASP.

Geometry as Quantum ESPRESSO input:
```
&SYSTEM
  ibrav = 0, nat = 4, ntyp = 3
/
ATOMIC_SPECIES
I 126.90 I.upf
S 32.06 S.upf
W 183.84 W.upf
ATOMIC_POSITIONS crystal
I 0.0000 0.0000 0.0000
S 0.2500 0.2500 0.2500
S 0.7500 0.7500 0.7500
W 0.5000 0.5000 0.5000
CELL_PARAMETERS angstrom
0.0000 3.2695 3.2695
3.2695 0.0000 3.2695
3.2695 3.2695 0.0000
```

As for the raw formation energy: 1.008 eV per atom.


(6)
Below is a relaxed WS2I crystal, with properties calculated at the PBE level. Values from VASP.

Geometry as Quantum ESPRESSO input:
```
&SYSTEM
  ibrav = 0, nat = 8, ntyp = 3
/
ATOMIC_SPECIES
I 126.90 I.upf
S 32.06 S.upf
W 183.84 W.upf
ATOMIC_POSITIONS crystal
I 0.5000 0.5000 0.0000
I 0.2500 0.7500 0.5000
S 0.7711 0.1250 0.2500
S 0.3750 0.2289 0.7500
S 0.8750 0.0211 0.7500
S 0.9789 0.6250 0.2500
W 0.7500 0.2500 0.5000
W 0.0000 0.0000 0.0000
CELL_PARAMETERS angstrom
-2.8236 -2.8584 5.6180
-2.1741 -5.3365 -3.8079
1.7310 -6.4747 1.8215
```

As for the raw formation energy: 0.096 eV per atom.


no.,theoretical density (g/cm³),spin magnetization (μB per atom),offset from the most stable computed form (meV per atom)
1,10.717,0.00,0
2,13.234,0.00,351
3,6.327,0.00,0
4,5.699,0.00,0
5,8.906,0.00,1318
6,5.285,0.00,406